[1]
Material: Ce3CrSi7
Method: DFT, GGA-PBE
State: relaxed

a b c (Å): 3.997 19.007 10.960
angles (deg): 90.00 90.00 90.00
Space group Cmcm (No. 63)
Inequivalent atoms, fractional coordinates:
1 Ce 0.000 0.107 0.050 x8
2 Ce 0.000 0.239 0.750 x4
3 Cr 0.000 0.052 0.750 x4
4 Si 0.000 0.270 0.039 x8
5 Si 0.000 0.374 0.146 x8
6 Si 0.000 0.397 0.750 x4
7 Si 0.000 0.496 0.113 x8

Calculated values
The value obtained for the uncorrected energy is -281.46 eV for the cell shown. For the formation energy (no corrections), the calculation gives -0.45 eV/atom.

***

[2]
Material: Tm5RuPt4
Method: DFT, GGA-PBE
State: relaxed

a b c (Å): 3.424 3.424 17.168
angles (deg): 90.00 90.00 90.00
Space group P4/mmm (No. 123)
Inequivalent atoms, fractional coordinates:
1 Tm 0.000 0.000 0.000 x1
2 Tm 0.000 0.000 0.203 x2
3 Tm 0.000 0.000 0.405 x2
4 Ru 0.500 0.500 0.500 x1
5 Pt 0.500 0.500 0.102 x2
6 Pt 0.500 0.500 0.303 x2

Calculated values
The value obtained for the formation energy is -110.2 kJ/mol of atoms. The value obtained for the uncorrected energy is -67.22 eV for the cell shown.

***

[3]
Material: NbCu2H
Method: DFT, GGA-PBE
State: relaxed

a b c (Å): 5.903 5.903 5.903
angles (deg): 90.00 90.00 90.00
Space group Fm-3m (No. 225)
Inequivalent atoms, fractional coordinates:
1 Nb 0.000 0.000 0.000 x4
2 Cu 0.250 0.250 0.250 x8
3 H 0.000 0.000 0.500 x4

Calculated values
Its excess energy over the best structure of this formula in the dataset is 491 meV/atom. The value obtained for the uncorrected energy is -72.89 eV for the cell shown.

***

[4]
Material: Hf2ZrB2
Method: DFT, GGA-PBE
State: relaxed

a b c (Å): 6.512 6.512 3.496
angles (deg): 90.00 90.00 90.00
Space group P4/mbm (No. 127)
Inequivalent atoms, fractional coordinates:
1 Hf 0.178 0.322 0.000 x4
2 Zr 0.000 0.000 0.500 x2
3 B 0.097 0.597 0.500 x4

Calculated values
The value obtained for the formation energy is -41.9 kJ/mol of atoms. The value obtained for the uncorrected energy is -87.96 eV for the cell shown.

***

[5]
Material: Dy6Bi2C
Method: DFT, GGA-PBE
State: relaxed

a b c (Å): 6.968 6.968 9.831
angles (deg): 90.00 90.00 90.00
Space group I4/mmm (No. 139)
Inequivalent atoms, fractional coordinates:
1 Dy 0.000 0.000 0.246 x4
2 Dy 0.246 0.246 0.000 x8
3 Bi 0.000 0.500 0.250 x4
4 C 0.000 0.000 0.000 x2

Calculated values
Its excess energy over the best structure of this formula in the dataset is 28 meV/atom. The value obtained for the formation energy is -40.6 kJ/mol of atoms. The value obtained for the uncorrected energy is -96.77 eV for the cell shown.

***

[6]
Material: Ge2SbMo
Method: DFT, GGA-PBE
State: relaxed

a b c (Å): 6.691 6.691 6.691
angles (deg): 90.00 90.00 90.00
Space group Fm-3m (No. 225)
Inequivalent atoms, fractional coordinates:
1 Ge 0.250 0.250 0.250 x8
2 Sb 0.000 0.000 0.000 x4
3 Mo 0.000 0.000 0.500 x4

Calculated values
Its excess energy over the best structure of this formula in the dataset is 0 meV/atom. The value obtained for the uncorrected energy is -87.00 eV for the cell shown. For the formation energy (no corrections), the calculation gives 0.61 eV/atom.

***

[7]
Material: Ca3Pu5Te8
Method: DFT, GGA-PBE
State: relaxed

a b c (Å): 8.9273 8.9273 22.0500
angles (deg): 90.00 90.00 120.00
Space group R-3m (No. 166, hexagonal axes)
Inequivalent atoms, fractional coordinates:
1 Ca 0.0000 0.5000 0.0000 x9
2 Pu 0.0000 0.0000 0.0000 x3
3 Pu 0.0000 0.0000 0.5000 x3
4 Pu 0.0000 0.5000 0.5000 x9
5 Te 0.0000 0.0000 0.2497 x6
6 Te 0.0006 0.5003 0.2496 x18

Calculated values
The value obtained for the uncorrected energy is -367.97 eV for the cell shown. For the formation energy (no corrections), the calculation gives -1.24 eV/atom.

***

[8]
Material: ScCoSi2
Method: DFT, GGA-PBE
State: relaxed

a b c (Å): 4.362 4.362 15.030
angles (deg): 90.00 90.00 90.00
Space group I-42d (No. 122)
Inequivalent atoms, fractional coordinates:
1 Sc 0.000 0.000 0.000 x4
2 Co 0.000 0.000 0.500 x4
3 Si 0.098 0.250 0.625 x8

Calculated values
The value obtained for the uncorrected energy is -100.15 eV for the cell shown. For the formation energy (no corrections), the calculation gives -0.19 eV/atom.

***

[9]
Material: Th2As4Ir3Rh
Method: DFT, GGA-PBE
State: relaxed

a b c (Å): 4.353 4.353 9.903
angles (deg): 90.00 90.00 90.00
Space group P-4m2 (No. 115)
Inequivalent atoms, fractional coordinates:
1 Th 0.000 0.500 0.250 x2
2 As 0.000 0.000 0.000 x1
3 As 0.000 0.500 0.636 x2
4 As 0.500 0.500 0.000 x1
5 Ir 0.000 0.500 0.882 x2
6 Ir 0.500 0.500 0.500 x1
7 Rh 0.000 0.000 0.500 x1

Calculated values
The value obtained for the formation energy is -80.1 kJ/mol of atoms. The value obtained for the uncorrected energy is -75.67 eV for the cell shown.

***

[10]
Material: ZrCr2CuSb
Method: DFT, GGA-PBE
State: relaxed

a b c (Å): 5.027 5.027 5.398
angles (deg): 90.00 90.00 90.00
Space group P4/mmm (No. 123)
Inequivalent atoms, fractional coordinates:
1 Zr 0.000 0.000 0.000 x1
2 Cr 0.000 0.500 0.500 x2
3 Cu 0.500 0.500 0.000 x1
4 Sb 0.000 0.000 0.500 x1

Calculated values
Its excess energy over the best structure of this formula in the dataset is 192 meV/atom. The value obtained for the uncorrected energy is -29.56 eV for the cell shown. For the formation energy (no corrections), the calculation gives 1.29 eV/atom.

***

[11]
Material: CuRuC3
Method: DFT, GGA-PBE
State: relaxed

a b c (Å): 3.742 3.742 3.742
angles (deg): 90.00 90.00 90.00
Space group Pm-3m (No. 221)
Inequivalent atoms, fractional coordinates:
1 Cu 0.000 0.000 0.000 x1
2 Ru 0.500 0.500 0.500 x1
3 C 0.000 0.000 0.500 x3

Calculated values
Its excess energy over the best structure of this formula in the dataset is 549 meV/atom. The value obtained for the formation energy is 266.3 kJ/mol of atoms. The value obtained for the uncorrected energy is -27.24 eV for the cell shown.

***

[12]
Material: Sm2PuGe
Method: DFT, GGA-PBE
State: relaxed

a b c (Å): 3.5852 3.5852 32.7215
angles (deg): 90.00 90.00 120.00
Space group R-3m (No. 166, hexagonal axes)
Inequivalent atoms, fractional coordinates:
1 Sm 0.0000 0.0000 0.1021 x6
2 Pu 0.0000 0.0000 0.0000 x3
3 Ge 0.0000 0.0000 0.5000 x3

Calculated values
Its excess energy over the best structure of this formula in the dataset is 327 meV/atom. The value obtained for the formation energy is 6.3 kJ/mol of atoms. The value obtained for the uncorrected energy is -84.37 eV for the cell shown.

***

[13]
Material: BaSrPb3
Method: DFT, GGA-PBE
State: relaxed

a b c (Å): 6.250 6.250 6.250
angles (deg): 90.00 90.00 90.00
Space group Pm-3m (No. 221)
Inequivalent atoms, fractional coordinates:
1 Ba 0.000 0.000 0.000 x1
2 Sr 0.500 0.500 0.500 x1
3 Pb 0.000 0.000 0.500 x3

Calculated values
Its excess energy over the best structure of this formula in the dataset is 830 meV/atom. The value obtained for the formation energy is 38.4 kJ/mol of atoms. The value obtained for the uncorrected energy is -12.74 eV for the cell shown.

***

[14]
Material: SrLiInPd2
Method: DFT, GGA-PBE
State: relaxed

a b c (Å): 4.270 4.270 12.139
angles (deg): 90.00 90.00 90.00
Space group I-4m2 (No. 119)
Inequivalent atoms, fractional coordinates:
1 Sr 0.000 0.000 0.000 x2
2 Li 0.000 0.500 0.750 x2
3 In 0.000 0.500 0.250 x2
4 Pd 0.000 0.000 0.389 x4

Calculated values
The value obtained for the formation energy is -56.4 kJ/mol of atoms. The value obtained for the uncorrected energy is -39.28 eV for the cell shown.

***

[15]
Material: ScAg2Cl6
Method: DFT, GGA-PBE
State: relaxed

a b c (Å): 12.154 3.899 9.984
angles (deg): 90.00 100.37 90.00
Space group C2/m (No. 12)
Inequivalent atoms, fractional coordinates:
1 Sc 0.000 0.000 0.000 x2
2 Ag 0.219 0.000 0.647 x4
3 Cl 0.063 0.000 0.784 x4
4 Cl 0.123 0.500 0.480 x4
5 Cl 0.134 0.500 0.087 x4

Calculated values
Its excess energy over the best structure of this formula in the dataset is 32 meV/atom. The value obtained for the uncorrected energy is -65.28 eV for the cell shown. For the formation energy (no corrections), the calculation gives -1.06 eV/atom.

***

[16]
Material: TaTlHg2
Method: DFT, GGA-PBE
State: relaxed

a b c (Å): 4.173 4.173 10.004
angles (deg): 90.00 90.00 90.00
Space group I4/mmm (No. 139)
Inequivalent atoms, fractional coordinates:
1 Ta 0.000 0.000 0.000 x2
2 Tl 0.000 0.000 0.500 x2
3 Hg 0.000 0.500 0.250 x4

Calculated values
The value obtained for the formation energy is 58.6 kJ/mol of atoms. The value obtained for the uncorrected energy is -24.78 eV for the cell shown.

***

[17]
Material: GdZnPt
Method: DFT, GGA-PBE
State: relaxed

a b c (Å): 6.535 6.535 6.535
angles (deg): 90.00 90.00 90.00
Space group F-43m (No. 216)
Inequivalent atoms, fractional coordinates:
1 Gd 0.000 0.000 0.000 x4
2 Zn 0.000 0.000 0.500 x4
3 Pt 0.250 0.250 0.750 x4

Calculated values
The value obtained for the formation energy is -74.5 kJ/mol of atoms. The value obtained for the uncorrected energy is -94.85 eV for the cell shown.

***

[18]
Material: TmZrAl2
Method: DFT, GGA-PBE
State: relaxed

a b c (Å): 3.3414 3.3414 27.6952
angles (deg): 90.00 90.00 120.00
Space group R-3m (No. 166, hexagonal axes)
Inequivalent atoms, fractional coordinates:
1 Tm 0.0000 0.0000 0.0000 x3
2 Zr 0.0000 0.0000 0.5000 x3
3 Al 0.0000 0.0000 0.2468 x6

Calculated values
Its excess energy over the best structure of this formula in the dataset is 210 meV/atom. The value obtained for the formation energy is -14.2 kJ/mol of atoms. The value obtained for the uncorrected energy is -63.28 eV for the cell shown.

***

[19]
Material: Ta2TcIr9
Method: DFT, GGA-PBE
State: relaxed

a b c (Å): 4.823 6.752 6.908
angles (deg): 101.73 110.13 109.43
Space group P-1 (No. 2)
Inequivalent atoms, fractional coordinates:
1 Ta 0.153 0.038 0.263 x2
2 Tc 0.500 0.500 0.500 x1
3 Ir 0.061 0.560 0.841 x2
4 Ir 0.145 0.754 0.535 x2
5 Ir 0.338 0.337 0.058 x2
6 Ir 0.464 0.208 0.705 x2
7 Ir 0.500 0.000 0.000 x1

Calculated values
The value obtained for the formation energy is -16.5 kJ/mol of atoms. The value obtained for the uncorrected energy is -115.87 eV for the cell shown.

***

[20]
Material: GdPa2In
Method: DFT, GGA-PBE
State: relaxed

a b c (Å): 3.2151 3.2151 36.9449
angles (deg): 90.00 90.00 120.00
Space group R-3m (No. 166, hexagonal axes)
Inequivalent atoms, fractional coordinates:
1 Gd 0.0000 0.0000 0.0000 x3
2 Pa 0.0000 0.0000 0.4122 x6
3 In 0.0000 0.0000 0.5000 x3

Calculated values
The value obtained for the formation energy is 31.9 kJ/mol of atoms. The value obtained for the uncorrected energy is -103.46 eV for the cell shown.

***

Calculated values (μB per atom) of size of the total moment for the records, taken in order: 0.266 0.000 0.000 0.000 0.000 0.000 1.103 0.000 0.032 1.660 0.000 1.608 0.000 0.000 0.000 0.000 2.374 0.000 0.000 1.765.
Calculated values (states/eV/cell) of DOS at the Fermi energy for the records, taken in order: 51.3 4.8 3.2 11.1 17.2 21.8 195.5 17.2 5.3 6.8 3.3 29.7 5.4 3.1 11.4 6.8 7.1 12.2 10.4 26.6.
Calculated values (Mg/m³) of ρ for the records, taken in order: 5.337 14.244 7.137 10.525 9.776 8.049 7.729 3.718 12.770 4.633 6.359 8.443 5.757 6.335 3.378 14.991 9.944 5.844 19.555 11.058.